[1]
# TbPm8Mg2 PBE relaxed
data_TbPm8Mg2
_cell_length_a 9.262
_cell_length_b 9.262
_cell_length_c 8.197
_cell_angle_alpha 107.96
_cell_angle_beta 107.96
_cell_angle_gamma 32.29
_symmetry_space_group_name_H-M 'P 1'
_symmetry_Int_Tables_number 1
loop_
_symmetry_equiv_pos_as_xyz
'x,y,z'
loop_
_atom_site_label
_atom_site_fract_x
_atom_site_fract_y
_atom_site_fract_z
_atom_site_occupancy
Tb1 0.000 0.000 0.000 1
Pm1 0.094 0.094 0.460 1
Pm2 0.184 0.184 0.935 1
Pm3 0.359 0.359 0.803 1
Pm4 0.450 0.450 0.267 1
Pm5 0.550 0.550 0.733 1
Pm6 0.641 0.641 0.197 1
Pm7 0.816 0.816 0.065 1
Pm8 0.906 0.906 0.540 1
Mg1 0.273 0.273 0.366 1
Mg2 0.727 0.727 0.634 1
# * DOS(E_F): 16.4 states/eV/f.u.
# * ΔH_f (0 K): 0.01 eV/atom
# * space-group type: C2/m

[2]
# Mg6SbMo PBE relaxed
data_Mg6SbMo
_cell_length_a 4.975
_cell_length_b 6.133
_cell_length_c 6.133
_cell_angle_alpha 61.27
_cell_angle_beta 90.00
_cell_angle_gamma 90.00
_symmetry_space_group_name_H-M 'P 1'
_symmetry_Int_Tables_number 1
loop_
_symmetry_equiv_pos_as_xyz
'x,y,z'
loop_
_atom_site_label
_atom_site_fract_x
_atom_site_fract_y
_atom_site_fract_z
_atom_site_occupancy
Mg1 0.000 0.000 0.000 1
Mg2 0.000 0.015 0.492 1
Mg3 0.000 0.492 0.015 1
Mg4 0.500 0.331 0.843 1
Mg5 0.500 0.834 0.834 1
Mg6 0.500 0.843 0.331 1
Sb1 0.000 0.492 0.492 1
Mo1 0.500 0.337 0.337 1
# * DOS(E_F): 5.0 states/eV/f.u.
# * space-group type: Amm2
# * uncorrected formation energy: 0.73 eV/f.u.

[3]
# MnIrAu PBE relaxed
data_MnIrAu
_cell_length_a 6.032
_cell_length_b 6.032
_cell_length_c 6.032
_cell_angle_alpha 152.57
_cell_angle_beta 152.57
_cell_angle_gamma 39.18
_symmetry_space_group_name_H-M 'P 1'
_symmetry_Int_Tables_number 1
loop_
_symmetry_equiv_pos_as_xyz
'x,y,z'
loop_
_atom_site_label
_atom_site_fract_x
_atom_site_fract_y
_atom_site_fract_z
_atom_site_occupancy
Mn1 0.000 0.000 0.000 1
Ir1 0.641 0.641 0.000 1
Au1 0.328 0.328 0.000 1
# * DOS(E_F): 2.5 states/eV/f.u.
# * ΔH_f (0 K): 0.06 eV/atom
# * space-group type: I4mm

[4]
# AcTb5Nd2Tm PBE relaxed
data_AcTb5Nd2Tm
_cell_length_a 10.031
_cell_length_b 10.031
_cell_length_c 10.031
_cell_angle_alpha 127.50
_cell_angle_beta 127.50
_cell_angle_gamma 77.43
_symmetry_space_group_name_H-M 'P 1'
_symmetry_Int_Tables_number 1
loop_
_symmetry_equiv_pos_as_xyz
'x,y,z'
loop_
_atom_site_label
_atom_site_fract_x
_atom_site_fract_y
_atom_site_fract_z
_atom_site_occupancy
Ac1 0.250 0.250 0.000 1
Ac2 0.750 0.750 0.000 1
Tb1 0.000 0.000 0.000 1
Tb2 0.073 0.573 0.913 1
Tb3 0.160 0.073 0.500 1
Tb4 0.340 0.840 0.913 1
Tb5 0.427 0.340 0.500 1
Tb6 0.500 0.500 0.000 1
Tb7 0.573 0.660 0.500 1
Tb8 0.660 0.160 0.087 1
Tb9 0.840 0.927 0.500 1
Tb10 0.927 0.427 0.087 1
Nd1 0.117 0.383 0.500 1
Nd2 0.383 0.883 0.266 1
Nd3 0.617 0.117 0.734 1
Nd4 0.883 0.617 0.500 1
Tm1 0.250 0.750 0.500 1
Tm2 0.750 0.250 0.500 1
# * DOS(E_F): 9.6 states/eV/f.u.
# * ΔH_f (0 K): 0.26 eV/atom
# * space-group type: I4/mcm